--- w ---
Here is a geometry-optimized LiHRh3 structure from Alexandria via LeMat-Bulk. Energies are from PBE-GGA.

Unit cell a=3.8671 b=3.8671 c=3.8671 alpha=90.00 beta=90.00 gamma=90.00
Space group Pm-3m (No. 221)
Asymmetric unit:
Li (0.0000, 0.0000, 0.0000) (multiplicity 1)
H (0.5000, 0.5000, 0.5000) (multiplicity 1)
Rh (0.0000, 0.5000, 0.5000) (multiplicity 3)

Output
Its total magnetization is 0.00 μB/f.u.

=====

--- x ---
Here is a geometry-optimized LiHRh3 structure from Alexandria via LeMat-Bulk. Energies are from PBE-GGA.

Unit cell a=4.0898 b=4.0898 c=4.0898 alpha=90.00 beta=90.00 gamma=90.00
Space group Pm-3m (No. 221)
Asymmetric unit:
Li (0.0000, 0.0000, 0.0000) (multiplicity 1)
H (0.5000, 0.5000, 0.5000) (multiplicity 1)
Rh (0.0000, 0.0000, 0.5000) (multiplicity 3)

Output
Its total magnetization is 0.00 μB/f.u.

=====

It is x that is the least stable of them.

=====

--- w ---
Here is a geometry-optimized Li3H4Rh structure from Alexandria via LeMat-Bulk. Energies are from PBE-GGA.

Unit cell a=3.7235 b=8.9116 c=8.7635 alpha=90.00 beta=90.00 gamma=90.00
Space group Cmcm (No. 63)
Asymmetric unit:
Li (0.0000, 0.0070, 0.2500) (multiplicity 4)
Li (0.0000, 0.3369, 0.0698) (multiplicity 8)
H (0.0000, 0.1698, 0.6115) (multiplicity 8)
H (0.0000, 0.4394, 0.6220) (multiplicity 8)
Rh (0.0000, 0.3001, 0.7500) (multiplicity 4)

Output
Its total magnetization is 0.00 μB/f.u.

=====

--- x ---
Here is a geometry-optimized Li3H4Rh structure from Alexandria via LeMat-Bulk. Energies are from PBE-GGA.

Unit cell a=3.8840 b=3.8840 c=8.0493 alpha=90.00 beta=90.00 gamma=90.00
Space group I4/mmm (No. 139)
Asymmetric unit:
Li (0.0000, 0.0000, 0.0000) (multiplicity 2)
Li (0.0000, 0.5000, 0.2500) (multiplicity 4)
H (0.0000, 0.0000, 0.2864) (multiplicity 4)
H (0.0000, 0.5000, 0.0000) (multiplicity 4)
Rh (0.0000, 0.0000, 0.5000) (multiplicity 2)

Output
Its total magnetization is 0.00 μB/f.u.

=====

It is w that is the least stable of them.

=====

--- w ---
Here is a geometry-optimized Li2SbHRh structure from Alexandria via LeMat-Bulk. Energies are from PBE-GGA.

Unit cell a=5.3618 b=5.3618 c=4.8999 alpha=90.00 beta=90.00 gamma=90.00
Space group P4/mmm (No. 123)
Asymmetric unit:
Li (0.0000, 0.5000, 0.0000) (multiplicity 2)
Sb (0.0000, 0.0000, 0.0000) (multiplicity 1)
H (0.5000, 0.5000, 0.5000) (multiplicity 1)
Rh (0.0000, 0.0000, 0.5000) (multiplicity 1)

Output
Its total magnetization is 1.12 μB/f.u.

=====

--- x ---
Here is a geometry-optimized Li2SbHRh structure from Alexandria via LeMat-Bulk. Energies are from PBE-GGA.

Unit cell a=5.1077 b=5.1077 c=3.5551 alpha=90.00 beta=90.00 gamma=90.00
Space group P4/mmm (No. 123)
Asymmetric unit:
Li (0.0000, 0.5000, 0.0000) (multiplicity 2)
Sb (0.0000, 0.0000, 0.0000) (multiplicity 1)
H (0.0000, 0.0000, 0.5000) (multiplicity 1)
Rh (0.5000, 0.5000, 0.5000) (multiplicity 1)

Output
Its total magnetization is 1.00 μB/f.u.

=====

--- y ---
Here is a geometry-optimized Li2SbHRh structure from Alexandria via LeMat-Bulk. Energies are from PBE-GGA.

Unit cell a=4.0371 b=4.0371 c=3.8374 alpha=90.00 beta=90.00 gamma=90.00
Space group P4/mmm (No. 123)
Asymmetric unit:
Li (0.0000, 0.5000, 0.0000) (multiplicity 2)
Sb (0.0000, 0.0000, 0.5000) (multiplicity 1)
H (0.5000, 0.5000, 0.0000) (multiplicity 1)
Rh (0.5000, 0.5000, 0.5000) (multiplicity 1)

Output
Its total magnetization is 0.00 μB/f.u.

=====

It is w that is the least stable of them.

=====

--- w ---
Here is a geometry-optimized LiSbHRh2 structure from Alexandria via LeMat-Bulk. Energies are from PBE-GGA.

Unit cell a=5.0030 b=5.0030 c=3.6088 alpha=90.00 beta=90.00 gamma=90.00
Space group P4/mmm (No. 123)
Asymmetric unit:
Li (0.0000, 0.0000, 0.0000) (multiplicity 1)
Sb (0.5000, 0.5000, 0.5000) (multiplicity 1)
H (0.5000, 0.5000, 0.0000) (multiplicity 1)
Rh (0.0000, 0.5000, 0.5000) (multiplicity 2)

Output
Its total magnetization is 0.42 μB/f.u.

=====

--- x ---
Here is a geometry-optimized LiSbHRh2 structure from Alexandria via LeMat-Bulk. Energies are from PBE-GGA.

Unit cell a=4.0592 b=4.0592 c=3.7488 alpha=90.00 beta=90.00 gamma=90.00
Space group P4/mmm (No. 123)
Asymmetric unit:
Li (0.0000, 0.0000, 0.0000) (multiplicity 1)
Sb (0.5000, 0.5000, 0.0000) (multiplicity 1)
H (0.0000, 0.0000, 0.5000) (multiplicity 1)
Rh (0.0000, 0.5000, 0.5000) (multiplicity 2)

Output
Its total magnetization is 0.00 μB/f.u.

=====

It is w that is the least stable of them.

=====

--- w ---
Here is a geometry-optimized LiSc2HRh structure from Alexandria via LeMat-Bulk. Energies are from PBE-GGA.

Unit cell a=4.5648 b=4.5648 c=3.5945 alpha=90.00 beta=90.00 gamma=90.00
Space group P4/mmm (No. 123)
Asymmetric unit:
Li (0.0000, 0.0000, 0.0000) (multiplicity 1)
Sc (0.0000, 0.5000, 0.5000) (multiplicity 2)
H (0.5000, 0.5000, 0.5000) (multiplicity 1)
Rh (0.5000, 0.5000, 0.0000) (multiplicity 1)

Output
Its total magnetization is 0.00 μB/f.u.

=====

--- x ---
Here is a geometry-optimized LiSc2HRh structure from Alexandria via LeMat-Bulk. Energies are from PBE-GGA.

Unit cell a=4.5750 b=4.5750 c=3.3678 alpha=90.00 beta=90.00 gamma=90.00
Space group P4/mmm (No. 123)
Asymmetric unit:
Li (0.0000, 0.0000, 0.0000) (multiplicity 1)
Sc (0.0000, 0.5000, 0.5000) (multiplicity 2)
H (0.0000, 0.0000, 0.5000) (multiplicity 1)
Rh (0.5000, 0.5000, 0.0000) (multiplicity 1)

Output
Its total magnetization is 0.00 μB/f.u.

=====

It is w that is the least stable of them.

=====

--- w ---
Here is a geometry-optimized LiScHRh2 structure from Alexandria via LeMat-Bulk. Energies are from PBE-GGA.

Unit cell a=3.9792 b=3.9792 c=3.9804 alpha=90.00 beta=90.00 gamma=90.00
Space group P4/mmm (No. 123)
Asymmetric unit:
Li (0.0000, 0.0000, 0.0000) (multiplicity 1)
Sc (0.5000, 0.5000, 0.0000) (multiplicity 1)
H (0.5000, 0.5000, 0.5000) (multiplicity 1)
Rh (0.0000, 0.5000, 0.5000) (multiplicity 2)

Output
Its total magnetization is 0.00 μB/f.u.

=====

--- x ---
Here is a geometry-optimized LiScHRh2 structure from Alexandria via LeMat-Bulk. Energies are from PBE-GGA.

Unit cell a=4.0781 b=4.0781 c=3.6530 alpha=90.00 beta=90.00 gamma=90.00
Space group P4/mmm (No. 123)
Asymmetric unit:
Li (0.0000, 0.0000, 0.0000) (multiplicity 1)
Sc (0.5000, 0.5000, 0.0000) (multiplicity 1)
H (0.0000, 0.0000, 0.5000) (multiplicity 1)
Rh (0.0000, 0.5000, 0.5000) (multiplicity 2)

Output
Its total magnetization is 0.00 μB/f.u.

=====

It is w that is the least stable of them.

=====

--- w ---
Here is a geometry-optimized LiSnH2Rh structure from Alexandria via LeMat-Bulk. Energies are from PBE-GGA.

Unit cell a=3.6568 b=3.6568 c=5.1577 alpha=90.00 beta=90.00 gamma=90.00
Space group P4/mmm (No. 123)
Asymmetric unit:
Li (0.0000, 0.0000, 0.0000) (multiplicity 1)
Sn (0.5000, 0.5000, 0.5000) (multiplicity 1)
H (0.0000, 0.5000, 0.0000) (multiplicity 2)
Rh (0.0000, 0.0000, 0.5000) (multiplicity 1)

Output
Its total magnetization is 0.00 μB/f.u.

=====

--- x ---
Here is a geometry-optimized LiSnH2Rh structure from Alexandria via LeMat-Bulk. Energies are from PBE-GGA.

Unit cell a=3.6174 b=3.6174 c=4.6950 alpha=90.00 beta=90.00 gamma=90.00
Space group P4/mmm (No. 123)
Asymmetric unit:
Li (0.0000, 0.0000, 0.0000) (multiplicity 1)
Sn (0.5000, 0.5000, 0.0000) (multiplicity 1)
H (0.0000, 0.5000, 0.5000) (multiplicity 2)
Rh (0.0000, 0.0000, 0.5000) (multiplicity 1)

Output
Its total magnetization is 0.00 μB/f.u.

=====

It is w that is the least stable of them.

=====

--- w ---
Here is a geometry-optimized LiY2HRh structure from Alexandria via LeMat-Bulk. Energies are from PBE-GGA.

Unit cell a=4.8959 b=4.8959 c=3.5763 alpha=90.00 beta=90.00 gamma=90.00
Space group P4/mmm (No. 123)
Asymmetric unit:
Li (0.0000, 0.0000, 0.0000) (multiplicity 1)
Y (0.0000, 0.5000, 0.5000) (multiplicity 2)
H (0.0000, 0.0000, 0.5000) (multiplicity 1)
Rh (0.5000, 0.5000, 0.0000) (multiplicity 1)

Output
Its total magnetization is 0.00 μB/f.u.

=====

--- x ---
Here is a geometry-optimized LiY2HRh structure from Alexandria via LeMat-Bulk. Energies are from PBE-GGA.

Unit cell a=4.9623 b=4.9623 c=3.6521 alpha=90.00 beta=90.00 gamma=90.00
Space group P4/mmm (No. 123)
Asymmetric unit:
Li (0.0000, 0.0000, 0.0000) (multiplicity 1)
Y (0.0000, 0.5000, 0.5000) (multiplicity 2)
H (0.5000, 0.5000, 0.5000) (multiplicity 1)
Rh (0.5000, 0.5000, 0.0000) (multiplicity 1)

Output
Its total magnetization is 0.00 μB/f.u.

=====

--- y ---
Here is a geometry-optimized LiY2HRh structure from Alexandria via LeMat-Bulk. Energies are from PBE-GGA.

Unit cell a=5.2097 b=5.2097 c=3.9636 alpha=90.00 beta=90.00 gamma=90.00
Space group P4/mmm (No. 123)
Asymmetric unit:
Li (0.0000, 0.0000, 0.0000) (multiplicity 1)
Y (0.0000, 0.5000, 0.0000) (multiplicity 2)
H (0.5000, 0.5000, 0.5000) (multiplicity 1)
Rh (0.0000, 0.0000, 0.5000) (multiplicity 1)

Output
Its total magnetization is 0.00 μB/f.u.

=====

It is y that is the least stable of them.

=====

--- w ---
Here is a geometry-optimized Li2ZnHRh structure from Alexandria via LeMat-Bulk. Energies are from PBE-GGA.

Unit cell a=3.8037 b=3.8037 c=3.7939 alpha=90.00 beta=90.00 gamma=90.00
Space group P4/mmm (No. 123)
Asymmetric unit:
Li (0.0000, 0.5000, 0.0000) (multiplicity 2)
Zn (0.0000, 0.0000, 0.5000) (multiplicity 1)
H (0.5000, 0.5000, 0.0000) (multiplicity 1)
Rh (0.5000, 0.5000, 0.5000) (multiplicity 1)

Output
Its total magnetization is 0.00 μB/f.u.

=====

--- x ---
Here is a geometry-optimized Li2ZnHRh structure from Alexandria via LeMat-Bulk. Energies are from PBE-GGA.

Unit cell a=3.6947 b=3.6947 c=4.0679 alpha=90.00 beta=90.00 gamma=90.00
Space group P4/mmm (No. 123)
Asymmetric unit:
Li (0.0000, 0.5000, 0.0000) (multiplicity 2)
Zn (0.0000, 0.0000, 0.5000) (multiplicity 1)
H (0.0000, 0.0000, 0.0000) (multiplicity 1)
Rh (0.5000, 0.5000, 0.5000) (multiplicity 1)

Output
Its total magnetization is 0.12 μB/f.u.

=====

It is x that is the least stable of them.

=====

--- w ---
Here is a geometry-optimized Li3H4Ru structure from Alexandria via LeMat-Bulk. Energies are from PBE-GGA.

Unit cell a=3.2257 b=4.9199 c=8.6781 alpha=90.00 beta=90.00 gamma=90.00
Space group Immm (No. 71)
Asymmetric unit:
Li (0.0000, 0.0000, 0.0000) (multiplicity 2)
Li (0.0000, 0.5000, 0.2582) (multiplicity 4)
H (0.0000, 0.0000, 0.3036) (multiplicity 4)
H (0.0000, 0.3310, 0.0000) (multiplicity 4)
Ru (0.0000, 0.0000, 0.5000) (multiplicity 2)

Output
Its total magnetization is 0.00 μB/f.u.

=====

--- x ---
Here is a geometry-optimized Li3H4Ru structure from Alexandria via LeMat-Bulk. Energies are from PBE-GGA.

Unit cell a=5.4615 b=7.8387 c=2.9545 alpha=90.00 beta=90.00 gamma=90.00
Space group Cmmm (No. 65)
Asymmetric unit:
Li (0.0000, 0.0000, 0.0000) (multiplicity 2)
Li (0.2500, 0.2500, 0.5000) (multiplicity 4)
H (0.0000, 0.2760, 0.0000) (multiplicity 4)
H (0.2049, 0.5000, 0.5000) (multiplicity 4)
Ru (0.0000, 0.5000, 0.0000) (multiplicity 2)

Output
Its total magnetization is 0.00 μB/f.u.

=====

It is w that is the least stable of them.

=====

--- w ---
Here is a geometry-optimized LiHRu2 structure from Alexandria via LeMat-Bulk. Energies are from PBE-GGA.

Unit cell a=4.9425 b=4.9425 c=9.2782 alpha=90.00 beta=90.00 gamma=90.00
Space group I4_1/amd (No. 141, origin choice 2)
Asymmetric unit:
Li (0.0000, 0.2500, 0.3750) (multiplicity 4)
H (0.0000, 0.2500, 0.8750) (multiplicity 4)
Ru (0.0000, 0.0000, 0.0000) (multiplicity 8)

Output
Its total magnetization is 0.08 μB/f.u.

=====

--- x ---
Here is a geometry-optimized LiHRu2 structure from Alexandria via LeMat-Bulk. Energies are from PBE-GGA.

Unit cell a=5.4949 b=5.4949 c=5.4949 alpha=90.00 beta=90.00 gamma=90.00
Space group Fm-3m (No. 225)
Asymmetric unit:
Li (0.0000, 0.0000, 0.0000) (multiplicity 4)
H (0.0000, 0.0000, 0.5000) (multiplicity 4)
Ru (0.2500, 0.2500, 0.2500) (multiplicity 8)

Output
Its total magnetization is 0.00 μB/f.u.

=====

It is x that is the least stable of them.

=====

--- w ---
Here is a geometry-optimized Li3HRu structure from Alexandria via LeMat-Bulk. Energies are from PBE-GGA.

Unit cell a=4.9343 b=4.9343 c=4.9343 alpha=90.00 beta=90.00 gamma=90.00
Space group Pm-3m (No. 221)
Asymmetric unit:
Li (0.0000, 0.0000, 0.5000) (multiplicity 3)
H (0.5000, 0.5000, 0.5000) (multiplicity 1)
Ru (0.0000, 0.0000, 0.0000) (multiplicity 1)

Output
Its total magnetization is 2.00 μB/f.u.

=====

--- x ---
Here is a geometry-optimized Li3HRu structure from Alexandria via LeMat-Bulk. Energies are from PBE-GGA.

Unit cell a=3.7794 b=3.7794 c=3.7794 alpha=90.00 beta=90.00 gamma=90.00
Space group Pm-3m (No. 221)
Asymmetric unit:
Li (0.0000, 0.0000, 0.5000) (multiplicity 3)
H (0.0000, 0.0000, 0.0000) (multiplicity 1)
Ru (0.5000, 0.5000, 0.5000) (multiplicity 1)

Output
Its total magnetization is 0.00 μB/f.u.

=====

It is w that is the least stable of them.